Entry 1:
10
Lattice="-2.041 4.505 -6.536 -5.987 -5.306 -1.788 -2.687 2.231 2.376" Properties=species:S:1:pos:R:3 comment="La2CuAg2 (PBE, optimized geometry)" final_energy_ev_per_atom=-3.8642 total_magnetization_mub_per_cell=0.000 dos_at_fermi_per_ev_cell=6.3 ef_ev_per_atom=0.0665 spacegroup="P4/mbm, No. 127" pbc="T T T"
Cu 0.000 0.000 0.000
Cu -4.014 -0.400 -4.162
Ag -5.340 -1.638 -0.746
Ag -7.858 -0.712 -4.461
Ag -5.375 3.068 -5.202
Ag -2.857 2.142 -1.487
La -5.632 -2.916 -3.630
La -5.710 0.171 -6.617
La -2.396 2.115 -4.695
La -2.317 -0.972 -1.708

***

Entry 2:
4
Lattice="4.549 0.000 0.000 0.000 4.011 0.005 0.000 1.337 4.977" Properties=species:S:1:pos:R:3 comment="LaCuAg2 (PBE, optimized geometry)" final_energy_ev_per_atom=-3.7274 total_magnetization_mub_per_cell=0.000 dos_at_fermi_per_ev_cell=1.9 ef_ev_per_atom=-0.0459 spacegroup="P2/m, No. 10" pbc="T T T"
Ag 0.000 0.430 0.189
Ag 0.000 2.244 2.302
Cu 2.275 1.337 1.245
La 2.275 4.011 3.736

***

no.,calculated volume (Å³/cell)
1,284
2,91